Below is a relaxed LuPuSc2 crystal, with properties calculated at the PBE-GGA level.

## Properties
VASP energy	-31.0	eV for the cell shown
ΔE_f	0.13	eV per atom
energy above the most stable polymorph in this dataset	29	meV/atom

Cell lengths 5.3118, 5.3118, 3.6729 Å; angles 90.00, 90.00, 90.00 degrees
Sites, in units of the cell vectors:
Lu1 0.0000 0.0000 0.0000
Pu1 0.5000 0.5000 0.0000
Sc1 0.0000 0.5000 0.5000
Sc2 0.5000 0.0000 0.5000